# FeAg3 (PBE, optimized geometry)
data_FeAg3
_chemical_formula_sum 'Fe1 Ag3'
_symmetry_space_group_name_H-M 'P 1'
_symmetry_Int_Tables_number 1
_symmetry_space_group_name_Hall 'P 1'
_cell_length_a 2.768
_cell_length_b 2.768
_cell_length_c 9.484
_cell_angle_alpha 90.00
_cell_angle_beta 90.00
_cell_angle_gamma 113.60
loop_
_atom_site_label
_atom_site_fract_x
_atom_site_fract_y
_atom_site_fract_z
Ag1 0.000 0.000 0.488
Ag2 0.000 0.000 0.012
Ag3 0.500 0.500 0.750
Fe1 0.500 0.500 0.250
# Size of the total moment (μB per formula unit): 2.81
# Symmetry: No. 65
# Fermi-level density of states (states/eV/cell): 2.219
# DFT total energy (eV/cell): -15.91
# Formation energy from the elements (eV per atom): 0.28
# Volume (Å³ per cell): 66.60